Record 1
Entry from the Alexandria database: an optimized crystal structure of Tb4CeTm7 (PBE).

Values from the calculation:
The polymorph energy (0 for the lowest one) comes out at 0.0 meV/atom. For the calculated volume, the calculation gives 748.7 Å³ per cell. The theoretical density comes out at 8.7 g/cm³.

CIF file:
```
data_Tb4CeTm7
_space_group_name_H-M_alt 'C 1 2/m 1'
_space_group_IT_number 12
_cell_length_a 18.6562
_cell_length_b 6.7944
_cell_length_c 5.9064
_cell_angle_alpha 90.00
_cell_angle_beta 90.42
_cell_angle_gamma 90.00
loop_
_space_group_symop_operation_xyz
'x,y,z'
'-x,-y,-z'
'-x,y,-z'
'x,-y,z'
'x+1/2,y+1/2,z'
'-x+1/2,-y+1/2,-z'
'-x+1/2,y+1/2,-z'
'x+1/2,-y+1/2,z'
loop_
_atom_site_label
_atom_site_type_symbol
_atom_site_fract_x
_atom_site_fract_y
_atom_site_fract_z
Tb1 Tb 0.1366 0.2296 0.2456
Ce1 Ce 0.0000 0.5000 0.5000
Tm1 Tm 0.0000 0.5000 0.0000
Tm2 Tm 0.0398 0.0000 0.7507
Tm3 Tm 0.1866 0.5000 0.7517
Tm4 Tm 0.2144 0.0000 0.7436
```

=====

Record 2
Entry from the Alexandria database: an optimized crystal structure of TbCeTm14 (PBE).

Values from the calculation:
For the calculated volume, the calculation gives 972.3 Å³ per cell. The value obtained for the calculated total energy is -4.506 eV per atom. The theoretical density comes out at 9.1 g/cm³.

CIF file:
```
data_TbCeTm14
_space_group_name_H-M_alt 'A m m 2'
_space_group_IT_number 38
_cell_length_a 10.9285
_cell_length_b 8.0470
_cell_length_c 11.0566
_cell_angle_alpha 90.00
_cell_angle_beta 90.00
_cell_angle_gamma 90.00
loop_
_space_group_symop_operation_xyz
'x,y,z'
'-x,-y,z'
'-x,y,z'
'x,-y,z'
'x,y+1/2,z+1/2'
'-x,-y+1/2,z+1/2'
'-x,y+1/2,z+1/2'
'x,-y+1/2,z+1/2'
loop_
_atom_site_label
_atom_site_type_symbol
_atom_site_fract_x
_atom_site_fract_y
_atom_site_fract_z
Tb1 Tb 0.0000 0.0000 0.0000
Ce1 Ce 0.0000 0.0000 0.4394
Tm1 Tm 0.0000 0.2060 0.7216
Tm2 Tm 0.2342 0.0000 0.2055
Tm3 Tm 0.2506 0.2108 0.9272
Tm4 Tm 0.2685 0.0000 0.6503
Tm5 Tm 0.5000 0.0000 0.4109
Tm6 Tm 0.5000 0.0000 0.8598
Tm7 Tm 0.5000 0.2049 0.1381
```

=====

Record 3
Entry from the Alexandria database: an optimized crystal structure of TbCe2Tm7 (PBE).

Values from the calculation:
For the calculated volume, the calculation gives 302.3 Å³ per cell. The value obtained for the calculated total energy is -4.725 eV per atom. The theoretical density comes out at 8.9 g/cm³.

CIF file:
```
data_TbCe2Tm7
_space_group_name_H-M_alt 'P -1'
_space_group_IT_number 2
_cell_length_a 4.9591
_cell_length_b 6.9831
_cell_length_c 9.2443
_cell_angle_alpha 79.00
_cell_angle_beta 74.45
_cell_angle_gamma 89.94
loop_
_space_group_symop_operation_xyz
'x,y,z'
'-x,-y,-z'
loop_
_atom_site_label
_atom_site_type_symbol
_atom_site_fract_x
_atom_site_fract_y
_atom_site_fract_z
Tb1 Tb 0.0000 0.0000 0.0000
Ce1 Ce 0.2006 0.5953 0.5992
Tm1 Tm 0.0000 0.5000 0.0000
Tm2 Tm 0.2007 0.1026 0.5986
Tm3 Tm 0.3988 0.6966 0.2021
Tm4 Tm 0.3996 0.2004 0.2010
```

=====

Record 4
Entry from the Alexandria database: an optimized crystal structure of Tb5CeTm2 (PBE).

Values from the calculation:
For the calculated volume, the calculation gives 500.7 Å³ per cell. The value obtained for the calculated total energy is -4.712 eV per atom. The theoretical density comes out at 8.4 g/cm³.

CIF file:
```
data_Tb5CeTm2
_space_group_name_H-M_alt 'P b a m'
_space_group_IT_number 55
_cell_length_a 7.0774
_cell_length_b 14.1559
_cell_length_c 4.9973
_cell_angle_alpha 90.00
_cell_angle_beta 90.00
_cell_angle_gamma 90.00
loop_
_space_group_symop_operation_xyz
'x,y,z'
'-x,-y,-z'
'-x,-y,z'
'x,y,-z'
'x+1/2,-y+1/2,-z'
'-x+1/2,y+1/2,z'
'-x+1/2,y+1/2,-z'
'x+1/2,-y+1/2,z'
loop_
_atom_site_label
_atom_site_type_symbol
_atom_site_fract_x
_atom_site_fract_y
_atom_site_fract_z
Tb1 Tb 0.0000 0.0000 0.0000
Tb2 Tb 0.0026 0.2501 0.0000
Tb3 Tb 0.2477 0.3761 0.5000
Ce1 Ce 0.0000 0.5000 0.0000
Tm1 Tm 0.2447 0.6238 0.5000
```

=====

Question: Which formula does entry 4 have?
Answer: Tb5CeTm2